(1)
Density functional theory data (PBE) for V2SnPb after structural relaxation.

The calculation puts the density of states at the Fermi level at 1.860 states/eV/atom.

It has space group Fm-3m (No. 225), with a = 6.6674 Å, b = 6.6674 Å, c = 6.6674 Å, α = 90.00°, β = 90.00° and γ = 90.00°. The inequivalent atoms are V at (0.2500, 0.2500, 0.2500), Sn at (0.0000, 0.0000, 0.0000) and Pb at (0.0000, 0.0000, 0.5000).


(2)
Density functional theory data (PBE) for V2SnPb after structural relaxation.

The calculation puts the density of states at the Fermi level at 1.746 states/eV/atom.

It has space group I-42d (No. 122), with a = 7.5059 Å, b = 7.5059 Å, c = 5.9578 Å, α = 90.00°, β = 90.00° and γ = 90.00°. The inequivalent atoms are V at (0.2421, 0.2500, 0.1250), Sn at (0.0000, 0.0000, 0.0000) and Pb at (0.0000, 0.0000, 0.5000).


Top of the stability list: (1), leading by 23.2 kJ/mol of atoms.


(1)
Density functional theory data (PBE) for SnPbW3 after structural relaxation.

The calculation puts the density of states at the Fermi level at 1.506 states/eV/atom.

It has space group Pm-3m (No. 221), with a = 4.9587 Å, b = 4.9587 Å, c = 4.9587 Å, α = 90.00°, β = 90.00° and γ = 90.00°. The inequivalent atoms are Sn at (0.0000, 0.0000, 0.0000), Pb at (0.5000, 0.5000, 0.5000) and W at (0.0000, 0.0000, 0.5000).


(2)
Density functional theory data (PBE) for SnPbW3 after structural relaxation.

The calculation puts the density of states at the Fermi level at 1.147 states/eV/atom.

It has space group Pm-3m (No. 221), with a = 5.0167 Å, b = 5.0167 Å, c = 5.0167 Å, α = 90.00°, β = 90.00° and γ = 90.00°. The inequivalent atoms are Sn at (0.0000, 0.0000, 0.0000), Pb at (0.5000, 0.5000, 0.5000) and W at (0.0000, 0.5000, 0.5000).


Top of the stability list: (1), leading by 38.0 kJ/mol of atoms.


(1)
Density functional theory data (PBE) for SnPb3W after structural relaxation.

The calculation puts the density of states at the Fermi level at 3.348 states/eV/atom.

It has space group Pm-3m (No. 221), with a = 5.6086 Å, b = 5.6086 Å, c = 5.6086 Å, α = 90.00°, β = 90.00° and γ = 90.00°. The inequivalent atoms are Sn at (0.0000, 0.0000, 0.0000), Pb at (0.0000, 0.0000, 0.5000) and W at (0.5000, 0.5000, 0.5000).


(2)
Density functional theory data (PBE) for SnPb3W after structural relaxation.

The calculation puts the density of states at the Fermi level at 0.983 states/eV/atom.

It has space group Pm-3m (No. 221), with a = 5.4441 Å, b = 5.4441 Å, c = 5.4441 Å, α = 90.00°, β = 90.00° and γ = 90.00°. The inequivalent atoms are Sn at (0.0000, 0.0000, 0.0000), Pb at (0.0000, 0.5000, 0.5000) and W at (0.5000, 0.5000, 0.5000).


Top of the stability list: (2), leading by 118.0 kJ/mol of atoms.